1.
VASP calculation (PBE) on crystalline Ac8Co2Ru at its relaxed geometry.

Lattice parameters (Å, degrees): 6.9122 8.5528 8.5528 54.04 105.51 105.51
With the nearest neighbours (Å) after each atom.
Fractional coordinates of all 11 atoms:
Ac 0.1655 0.1155 0.6347  2 Co 2.83-3.11, 1 Ru 3.12
Ac 0.1655 0.6347 0.1155  2 Co 2.83-3.11, 1 Ru 3.12
Ac 0.8345 0.8845 0.3653  2 Co 2.83-3.11, 1 Ru 3.12
Ac 0.2863 0.5889 0.5889  1 Co 2.62
Ac 0.8345 0.3653 0.8845  2 Co 2.83-3.11, 1 Ru 3.12
Ac 0.3481 0.1651 0.1651  1 Ru 2.91
Ac 0.6519 0.8349 0.8349  1 Ru 2.91
Ac 0.7137 0.4111 0.4111  1 Co 2.62
Co 0.8400 0.2653 0.2653  3 Ac 2.62-2.83
Co 0.1600 0.7347 0.7347  3 Ac 2.62-2.83
Ru 0.0000 0.0000 0.0000  6 Ac 2.91-3.12

Output
Calculated total energy, eV per atom: -5.084
DOS(E_F), states/eV/cell: 12.61
M_tot, μB/atom: 0.00

***

2.
VASP calculation (PBE) on crystalline Sm5Al4Ga at its relaxed geometry.

Lattice parameters (Å, degrees): 3.6757 3.6757 18.3572 90.00 90.00 90.00
With the nearest neighbours (Å) after each atom.
Fractional coordinates of all 10 atoms:
Sm 0.5000 0.5000 0.0986  4 Ga 3.17, 4 Al 3.19
Sm 0.5000 0.5000 0.2997  8 Al 3.18
Sm 0.5000 0.5000 0.5000  8 Al 3.18
Sm 0.5000 0.5000 0.7003  8 Al 3.18
Sm 0.5000 0.5000 0.9014  4 Ga 3.17, 4 Al 3.19
Al 0.0000 0.0000 0.1995  8 Sm 3.18-3.19
Al 0.0000 0.0000 0.3998  8 Sm 3.18
Al 0.0000 0.0000 0.6002  8 Sm 3.18
Al 0.0000 0.0000 0.8005  8 Sm 3.18-3.19
Ga 0.0000 0.0000 0.0000  8 Sm 3.17

Output
Calculated total energy, eV per atom: -4.572
DOS(E_F), states/eV/cell: 3.80
M_tot, μB/atom: 0.00

***

3.
VASP calculation (PBE) on crystalline ZrBi2F11 at its relaxed geometry.

Lattice parameters (Å, degrees): 8.2494 8.4973 8.4973 74.74 60.96 60.96
With the nearest neighbours (Å) after each atom.
Fractional coordinates of all 28 atoms:
Zr 0.7500 0.7500 0.7500  8 F 2.12-2.20
Zr 0.2500 0.2500 0.2500  8 F 2.12-2.20
Bi 0.6457 0.6839 0.3161  7 F 2.14-2.33
Bi 0.3543 0.3161 0.6839  7 F 2.14-2.33
Bi 0.8543 0.1839 0.8161  7 F 2.14-2.33
Bi 0.1457 0.8161 0.1839  7 F 2.14-2.33
F 0.6675 0.7011 0.5734  1 Zr 2.12, 1 Bi 2.33
F 0.3325 0.2989 0.4266  1 Zr 2.12, 1 Bi 2.33
F 0.0580 0.5734 0.7011  1 Zr 2.12, 1 Bi 2.33
F 0.8325 0.9266 0.7989  1 Zr 2.12, 1 Bi 2.33
F 0.9420 0.4266 0.2989  1 Zr 2.12, 1 Bi 2.33
F 0.1675 0.0734 0.2011  1 Zr 2.12, 1 Bi 2.33
F 0.4420 0.7989 0.9266  1 Zr 2.12, 1 Bi 2.33
F 0.5580 0.2011 0.0734  1 Zr 2.12, 1 Bi 2.33
F 0.5000 0.5000 0.5000  2 Bi 2.25, 2 F 2.45
F 0.0000 0.0000 0.0000  2 Bi 2.25, 2 F 2.45
F 0.8715 0.7864 0.2136  2 Bi 2.14-2.28
F 0.1285 0.2136 0.7864  2 Bi 2.14-2.28
F 0.6285 0.2864 0.7136  2 Bi 2.14-2.28
F 0.3715 0.7136 0.2864  2 Bi 2.14-2.28
F 0.4432 0.9801 0.3229  1 Zr 2.20, 1 Bi 2.24
F 0.5568 0.0199 0.6771  1 Zr 2.20, 1 Bi 2.24
F 0.2537 0.3229 0.9801  1 Zr 2.20, 1 Bi 2.24
F 0.0568 0.1771 0.5199  1 Zr 2.20, 1 Bi 2.24
F 0.7463 0.6771 0.0199  1 Zr 2.20, 1 Bi 2.24
F 0.9432 0.8229 0.4801  1 Zr 2.20, 1 Bi 2.24
F 0.2463 0.5199 0.1771  1 Zr 2.20, 1 Bi 2.24
F 0.7537 0.4801 0.8229  1 Zr 2.20, 1 Bi 2.24

Output
Formation energy from raw total energies, meV/atom: -2696.2
DOS(E_F), states/eV/cell: 7.83
M_tot, μB/atom: 0.00

***

4.
VASP calculation (PBE) on crystalline CrCu3Ir at its relaxed geometry.

Lattice parameters (Å, degrees): 4.6276 4.6276 4.6276 90.00 90.00 90.00
With the nearest neighbours (Å) after each atom.
Fractional coordinates of all 5 atoms:
Cr 0.5000 0.5000 0.5000  12 Cu 3.27
Ir 0.0000 0.0000 0.0000  6 Cu 2.31
Cu 0.0000 0.5000 0.0000  2 Ir 2.31
Cu 0.0000 0.0000 0.5000  2 Ir 2.31
Cu 0.5000 0.0000 0.0000  2 Ir 2.31

Output
Calculated total energy, eV per atom: -4.935
DOS(E_F), states/eV/cell: 5.18
M_tot, μB/atom: 0.83

***

5.
VASP calculation (PBE) on crystalline CrCo2CuH at its relaxed geometry.

Lattice parameters (Å, degrees): 3.6093 3.6093 3.6502 90.00 90.00 90.00
With the nearest neighbours (Å) after each atom.
Fractional coordinates of all 5 atoms:
Cr 0.0000 0.0000 0.5000  2 H 1.83
Co 0.0000 0.5000 0.0000  2 H 1.80
Co 0.5000 0.0000 0.0000  2 H 1.80
Cu 0.5000 0.5000 0.5000  4 Cr 2.55, 8 Co 2.57
H 0.0000 0.0000 0.0000  4 Co 1.80, 2 Cr 1.83

Output
Calculated total energy, eV per atom: -6.099
DOS(E_F), states/eV/cell: 7.19
M_tot, μB/atom: 0.43

***

6.
VASP calculation (PBE) on crystalline CsPmPt4 at its relaxed geometry.

Lattice parameters (Å, degrees): 5.5991 5.5991 5.5991 60.00 60.00 60.00
With the nearest neighbours (Å) after each atom.
Fractional coordinates of all 6 atoms:
Cs 0.2500 0.2500 0.2500  12 Pt 3.28, 4 Pm 3.43
Pt 0.6255 0.6255 0.1234  6 Pt 2.79-2.81
Pt 0.6255 0.1234 0.6255  6 Pt 2.79-2.81
Pt 0.6255 0.6255 0.6255  6 Pt 2.79-2.81
Pt 0.1234 0.6255 0.6255  6 Pt 2.79-2.81
Pm 0.0000 0.0000 0.0000  12 Pt 3.28, 4 Cs 3.43

Output
Calculated total energy, eV per atom: -5.429
DOS(E_F), states/eV/cell: 1.66
M_tot, μB/atom: 0.00

***

7.
VASP calculation (PBE) on crystalline InSi2B2 at its relaxed geometry.

Lattice parameters (Å, degrees): 3.9250 3.9250 5.0429 67.10 67.10 90.00
With the nearest neighbours (Å) after each atom.
Fractional coordinates of all 5 atoms:
Si 0.7500 0.2500 0.5000  4 B 2.29
Si 0.2500 0.7500 0.5000  4 B 2.29
B 0.3895 0.3895 0.2210  1 B 1.86
B 0.6105 0.6105 0.7790  1 B 1.86
In 0.0000 0.0000 0.0000  8 Si 2.88, 8 B 2.93

Output
Formation energy from raw total energies, meV/atom: 606.9
DOS(E_F), states/eV/cell: 1.21
M_tot, μB/atom: 0.00

***

8.
VASP calculation (PBE) on crystalline HgMo2Pb2 at its relaxed geometry.

Lattice parameters (Å, degrees): 8.8867 8.8867 3.0374 90.00 90.00 90.00
With the nearest neighbours (Å) after each atom.
Fractional coordinates of all 10 atoms:
Pb 0.3103 0.8103 0.0000  2 Pb 3.04, 6 Mo 3.05-3.15, 2 Hg 3.23
Pb 0.8103 0.6897 0.0000  2 Pb 3.04, 6 Mo 3.05-3.15, 2 Hg 3.23
Pb 0.6897 0.1897 0.0000  2 Pb 3.04, 6 Mo 3.05-3.15, 2 Hg 3.23
Pb 0.1897 0.3103 0.0000  2 Pb 3.04, 6 Mo 3.05-3.15, 2 Hg 3.23
Mo 0.0907 0.5907 0.5000  1 Mo 2.28
Mo 0.5907 0.9093 0.5000  1 Mo 2.28
Mo 0.9093 0.4093 0.5000  1 Mo 2.28
Mo 0.4093 0.0907 0.5000  1 Mo 2.28
Hg 0.0000 0.0000 0.0000  2 Hg 3.04, 4 Pb 3.23
Hg 0.5000 0.5000 0.0000  2 Hg 3.04, 4 Pb 3.23

Output
Calculated total energy, eV per atom: -5.162
DOS(E_F), states/eV/cell: 9.82
M_tot, μB/atom: 0.00

***

9.
VASP calculation (PBE) on crystalline KCoPt2 at its relaxed geometry.

Lattice parameters (Å, degrees): 6.3588 5.2280 2.7406 90.03 64.42 119.67
With the nearest neighbours (Å) after each atom.
Fractional coordinates of all 4 atoms:
Co 0.0000 0.5000 0.5000  2 Co 2.74, 2 K 2.87, 8 Pt 2.95
K 0.5000 0.5000 0.0000  2 K 2.74, 2 Co 2.87, 8 Pt 2.95
Pt 0.0000 0.0000 0.0000  4 Pt 2.74-2.87, 4 K 2.95, 4 Co 2.95
Pt 0.5000 0.0000 0.5000  4 Pt 2.74-2.87, 4 Co 2.95, 4 K 2.95

Output
Calculated total energy, eV per atom: -4.575
DOS(E_F), states/eV/cell: 5.57
M_tot, μB/atom: 0.56

***

10.
VASP calculation (PBE) on crystalline YAl at its relaxed geometry.

Lattice parameters (Å, degrees): 3.5317 3.5317 9.5314 90.00 90.00 120.00
With the nearest neighbours (Å) after each atom.
Fractional coordinates of all 4 atoms:
Y 0.0000 0.0000 0.4656  3 Al 3.09
Y 0.6667 0.3333 0.7844  3 Al 3.09
Al 0.0000 0.0000 0.0286  3 Al 2.74
Al 0.6667 0.3333 0.2214  3 Al 2.74

Output
Calculated total energy, eV per atom: -5.156
DOS(E_F), states/eV/cell: 3.80
M_tot, μB/atom: 0.00

***

11.
VASP calculation (PBE) on crystalline TaAsO2F at its relaxed geometry.

Lattice parameters (Å, degrees): 4.0005 4.0005 4.2498 90.00 90.00 90.00
With the nearest neighbours (Å) after each atom.
Fractional coordinates of all 5 atoms:
As 0.5000 0.5000 0.5000  4 F 2.83, 8 O 2.92
F 0.0000 0.0000 0.5000  2 Ta 2.12
O 0.0000 0.5000 0.0000  2 Ta 2.00
O 0.5000 0.0000 0.0000  2 Ta 2.00
Ta 0.0000 0.0000 0.0000  4 O 2.00, 2 F 2.12

Output
Formation energy from raw total energies, meV/atom: -1420.9
DOS(E_F), states/eV/cell: 3.06
M_tot, μB/atom: 0.15

***

12.
VASP calculation (PBE) on crystalline AlNi2Ag at its relaxed geometry.

Lattice parameters (Å, degrees): 4.4884 4.4884 4.6532 76.73 76.73 36.22
With the nearest neighbours (Å) after each atom.
Fractional coordinates of all 4 atoms:
Ni 0.9873 0.9873 0.0254  3 Al 2.47-2.69, 2 Ni 2.57, 3 Ag 2.65-2.69
Ni 0.5127 0.5127 0.4746  3 Al 2.47-2.69, 2 Ni 2.57, 3 Ag 2.65-2.69
Al 0.2500 0.2500 0.2500  6 Ni 2.47-2.69, 4 Ag 2.71
Ag 0.7500 0.7500 0.7500  6 Ni 2.65-2.69, 4 Al 2.71, 2 Ag 2.79

Output
Calculated total energy, eV per atom: -4.633
DOS(E_F), states/eV/cell: 3.85
M_tot, μB/atom: 0.00

***

Question: Which value of DOS(E_F) does entry 3 give?
Answer: 7.83 states/eV/cell